# 1
A relaxed structure of La2CrMo. Source: Alexandria, functional PBE.

Properties
Density of states at the Fermi level: 9.77 states/eV/f.u.
Final energy: -6.434 eV per atom
ΔE_f: 1142.8 meV/atom

Cell lengths 7.788, 7.788, 6.264 Å; angles 51.56, 51.56, 90.00 degrees
Fractional coordinates of all 8 atoms:
Cr 0.500 0.500 0.000
Cr 0.250 0.750 0.500
Mo 0.000 0.000 0.000
Mo 0.750 0.250 0.500
La 0.612 0.125 0.250
La 0.138 0.625 0.250
La 0.375 0.388 0.750
La 0.875 0.862 0.750

***

# 2
A relaxed structure of Pr5HoTe6. Source: Alexandria, functional PBE.

Properties
Density of states at the Fermi level: 5.64 states/eV/f.u.
Formation energy without anion corrections: -136.1 kJ/mol of atoms
Final energy: -5.355 eV per atom

Cell lengths 7.774, 7.801, 7.803 Å; angles 60.01, 80.42, 70.55 degrees
Fractional coordinates of all 12 atoms:
Pr 0.500 0.176 0.647
Pr 0.000 0.332 0.335
Pr 0.500 0.500 0.000
Pr 0.000 0.668 0.665
Pr 0.500 0.824 0.353
Ho 0.000 0.000 0.000
Te 0.758 0.081 0.321
Te 0.242 0.598 0.321
Te 0.250 0.238 0.000
Te 0.750 0.762 0.000
Te 0.758 0.402 0.679
Te 0.242 0.919 0.679

***

# 3
A relaxed structure of LiZrTc2. Source: Alexandria, functional PBE.

Properties
Density of states at the Fermi level: 2.94 states/eV/f.u.
Final energy: -7.550 eV per atom
ΔE_f: 248.7 meV/atom

Cell lengths 2.780, 2.780, 9.436 Å; angles 90.00, 90.00, 111.34 degrees
Fractional coordinates of all 4 atoms:
Li 0.500 0.500 0.776
Tc 0.000 0.000 0.014
Tc 0.500 0.500 0.231
Zr 0.000 0.000 0.479